*P*
This record from Alexandria describes a relaxed Re2TePb crystal. The functional is PBE. Values from VASP.

Summary:
Total magnetization in μB/atom: 0.000
Crystal system: trigonal
Volume in Å³ per cell: 76.42

Cell and atoms, written as Quantum ESPRESSO input:
```
&SYSTEM
  ibrav = 0, nat = 4, ntyp = 3
/
ATOMIC_SPECIES
Pb 207.20 Pb.upf
Re 186.21 Re.upf
Te 127.60 Te.upf
ATOMIC_POSITIONS angstrom
Pb -4.191 -3.143 18.948
Re -5.551 -4.163 25.096
Re -2.831 -2.123 12.801
Te -1.397 -1.048 6.316
CELL_PARAMETERS angstrom
-3.244 -0.194 8.316
-2.162 -3.171 8.061
-0.182 -0.826 8.888
```

*Q*
This record from Alexandria describes a relaxed Re2TePb crystal. The functional is PBE. Values from VASP.

Summary:
Total magnetization in μB/atom: 0.000
Crystal system: tetragonal
Volume in Å³ per cell: 87.39

Cell and atoms, written as Quantum ESPRESSO input:
```
&SYSTEM
  ibrav = 0, nat = 4, ntyp = 3
/
ATOMIC_SPECIES
Pb 207.20 Pb.upf
Re 186.21 Re.upf
Te 127.60 Te.upf
ATOMIC_POSITIONS angstrom
Pb 1.530 1.530 7.536
Re 0.000 0.000 0.471
Re 1.530 1.530 2.074
Te 0.000 0.000 3.910
CELL_PARAMETERS angstrom
3.061 0.000 0.000
0.000 3.061 0.000
0.000 0.000 9.327
```

Need the numbers? Relative energies in eV/atom: *P* 0.585; *Q* 0.000.